This record from Alexandria describes crystalline Ac15LaNd4 at its relaxed geometry. The functional is PBE.

Structure (POSCAR):
```
Ac15LaNd4
1.0
5.553 0.000 0.000
0.000 5.553 0.000
0.000 0.000 27.667
Ac La Nd
15 1 4
Direct
0.000 0.000 0.000
0.000 0.000 0.201
0.000 0.000 0.400
0.000 0.000 0.600
0.000 0.000 0.799
0.000 0.500 0.101
0.000 0.500 0.300
0.000 0.500 0.500
0.000 0.500 0.700
0.000 0.500 0.899
0.500 0.000 0.101
0.500 0.000 0.300
0.500 0.000 0.500
0.500 0.000 0.700
0.500 0.000 0.899
0.500 0.500 0.000
0.500 0.500 0.201
0.500 0.500 0.400
0.500 0.500 0.600
0.500 0.500 0.799
```

## Properties
The value obtained for the calculated total energy is -4.26 eV/atom.

This record from Alexandria describes crystalline Li2Tm2Al5Pd at its relaxed geometry. The functional is PBE.

Structure (POSCAR):
```
Li2Tm2Al5Pd
1.0
10.193 0.000 0.000
0.000 10.193 0.000
0.000 0.000 3.425
Li Tm Al Pd
4 4 10 2
Direct
0.127 0.373 0.000
0.373 0.873 0.000
0.627 0.127 0.000
0.873 0.627 0.000
0.177 0.677 0.000
0.323 0.177 0.000
0.677 0.823 0.000
0.823 0.323 0.000
0.000 0.500 0.500
0.053 0.192 0.500
0.192 0.947 0.500
0.308 0.447 0.500
0.447 0.692 0.500
0.500 0.000 0.500
0.553 0.308 0.500
0.692 0.553 0.500
0.808 0.053 0.500
0.947 0.808 0.500
0.000 0.000 0.000
0.500 0.500 0.000
```

## Properties
The value obtained for the calculated total energy is -4.02 eV/atom.

This record from Alexandria describes crystalline Rb2ScW at its relaxed geometry. The functional is PBE.

Structure (POSCAR):
```
Rb2ScW
1.0
0.000 4.222 4.222
4.222 0.000 4.222
4.222 4.222 0.000
Rb Sc W
2 1 1
Direct
0.250 0.250 0.250
0.750 0.750 0.750
0.000 0.000 0.000
0.500 0.500 0.500
```

## Properties
The value obtained for the energy relative to the lowest polymorph listed for this composition is 345 meV per atom.

This record from Alexandria describes crystalline Pm3InPd12 at its relaxed geometry. The functional is PBE.

Structure (POSCAR):
```
Pm3InPd12
1.0
4.167 0.000 0.000
0.000 4.167 0.000
0.000 0.000 16.475
Pm In Pd
3 1 12
Direct
0.000 0.000 0.000
0.000 0.000 0.256
0.000 0.000 0.744
0.000 0.000 0.500
0.000 0.500 0.127
0.000 0.500 0.383
0.000 0.500 0.617
0.000 0.500 0.873
0.500 0.000 0.127
0.500 0.000 0.383
0.500 0.000 0.617
0.500 0.000 0.873
0.500 0.500 0.000
0.500 0.500 0.255
0.500 0.500 0.500
0.500 0.500 0.745
```

## Properties
The value obtained for the calculated total energy is -5.66 eV/atom.

This record from Alexandria describes crystalline Tm4In3Tc at its relaxed geometry. The functional is PBE.

Structure (POSCAR):
```
Tm4In3Tc
1.0
3.531 0.000 0.000
0.000 3.531 0.000
0.000 0.000 15.493
Tm In Tc
4 3 1
Direct
0.000 0.000 0.101
0.000 0.000 0.366
0.000 0.000 0.634
0.000 0.000 0.899
0.500 0.500 0.234
0.500 0.500 0.500
0.500 0.500 0.766
0.500 0.500 0.000
```

## Properties
The value obtained for the calculated total energy is -4.93 eV/atom.

This record from Alexandria describes crystalline Dy2InNi2 at its relaxed geometry. The functional is PBE.

Structure (POSCAR):
```
Dy2InNi2
1.0
1.936 -7.181 0.000
1.936 7.181 0.000
0.000 0.000 3.692
Dy In Ni
2 1 2
Direct
0.139 0.861 0.000
0.861 0.139 0.000
0.500 0.500 0.500
0.301 0.699 0.500
0.699 0.301 0.500
```

## Properties
The value obtained for the calculated total energy is -5.24 eV/atom.

This record from Alexandria describes crystalline Ca2TlH at its relaxed geometry. The functional is PBE.

Structure (POSCAR):
```
Ca2TlH
1.0
3.458 0.000 0.000
0.000 3.458 0.000
0.000 0.000 7.919
Ca Tl H
2 1 1
Direct
0.000 0.000 0.220
0.000 0.000 0.780
0.500 0.500 0.500
0.500 0.500 0.000
```

## Properties
The value obtained for the energy relative to the lowest polymorph listed for this composition is 201 meV per atom.

This record from Alexandria describes crystalline NaGd2Os at its relaxed geometry. The functional is PBE.

Structure (POSCAR):
```
NaGd2Os
1.0
2.007 1.159 10.390
-2.007 1.159 10.390
0.000 -2.317 10.390
Na Gd Os
1 2 1
Direct
0.000 0.000 0.000
0.119 0.119 0.119
0.881 0.881 0.881
0.500 0.500 0.500
```

## Properties
The value obtained for the calculated total energy is -10.08 eV/atom.

| no. | calculated volume (Å³/cell) | M_tot (μB/f.u.) |
| --- | --- | --- |
| 1 | 853.1 | 0.00 |
| 2 | 355.8 | 0.00 |
| 3 | 150.5 | 2.91 |
| 4 | 286.0 | 0.00 |
| 5 | 193.1 | 0.00 |
| 6 | 102.7 | 0.00 |
| 7 | 94.7 | 0.00 |
| 8 | 145.0 | 14.39 |